Entry 1:
Entry from Alexandria via LeMat-Bulk: a relaxed structure of Li3Os (GGA-PBE).

Calculated values
Magnetic moment in μB per formula unit: 1.11
DOS at the Fermi energy in states/eV per atom: 0.98
Total energy in eV/atom: -3.5894
Calculated volume in Å³ per cell: 112
Formation enthalpy at 0 K in eV/atom: 0.65

Lattice parameters (Å, degrees): 4.815 4.815 4.815 90.00 90.00 90.00
Element x y z (fractional)
Li  0.000  0.750  0.500
Li  0.750  0.500  0.000
Li  0.250  0.500  0.000
Li  0.000  0.250  0.500
Os  0.000  0.000  0.000
Os  0.500  0.500  0.500
Li  0.500  0.000  0.750
Li  0.500  0.000  0.250

---

Entry 2:
Entry from Alexandria via LeMat-Bulk: a relaxed structure of LiOs (GGA-PBE).

Calculated values
Magnetic moment in μB per formula unit: 0.00
DOS at the Fermi energy in states/eV per atom: 0.42
Total energy in eV/atom: -5.1586
Calculated volume in Å³ per cell: 98
Formation enthalpy at 0 K in eV/atom: 1.41

Lattice parameters (Å, degrees): 4.604 4.604 4.604 90.00 90.00 90.00
Element x y z (fractional)
Os  0.000  0.000  0.500
Os  0.500  0.500  0.500
Li  0.500  0.000  0.500
Os  0.500  0.000  0.000
Li  0.000  0.500  0.500
Li  0.000  0.000  0.000
Os  0.000  0.500  0.000
Li  0.500  0.500  0.000

---

Entry 3:
Entry from Alexandria via LeMat-Bulk: a relaxed structure of LiOs2 (GGA-PBE).

Calculated values
Magnetic moment in μB per formula unit: 0.00
DOS at the Fermi energy in states/eV per atom: 0.77
Total energy in eV/atom: -7.8925
Calculated volume in Å³ per cell: 40
Formation enthalpy at 0 K in eV/atom: 0.23

Lattice parameters (Å, degrees): 4.139 4.139 2.672 90.00 90.00 120.00
Element x y z (fractional)
Os  0.333  0.667  0.683
Os  0.667  0.333  0.317
Li  0.000  0.000  0.000

---

Entry 4:
Entry from Alexandria via LeMat-Bulk: a relaxed structure of LiOs3 (GGA-PBE).

Calculated values
Magnetic moment in μB per formula unit: 0.00
DOS at the Fermi energy in states/eV per atom: 0.89
Total energy in eV/atom: -8.3925
Calculated volume in Å³ per cell: 55
Formation enthalpy at 0 K in eV/atom: 0.51

Lattice parameters (Å, degrees): 3.800 3.800 3.800 90.00 90.00 90.00
Element x y z (fractional)
Os  0.500  0.000  0.500
Os  0.500  0.500  0.000
Os  0.000  0.500  0.500
Li  0.000  0.000  0.000

---

Entry 5:
Entry from Alexandria via LeMat-Bulk: a relaxed structure of Li3Os (GGA-PBE).

Calculated values
Magnetic moment in μB per formula unit: 0.00
DOS at the Fermi energy in states/eV per atom: 0.43
Total energy in eV/atom: -4.0474
Calculated volume in Å³ per cell: 57
Formation enthalpy at 0 K in eV/atom: 0.20

Lattice parameters (Å, degrees): 2.496 4.356 5.266 90.00 90.00 90.00
Element x y z (fractional)
Li  0.000  0.000  0.500
Li  0.500  0.500  0.220
Os  0.000  0.000  0.000
Li  0.500  0.500  0.780

---

Entry 6:
Entry from Alexandria via LeMat-Bulk: a relaxed structure of LiOs2 (GGA-PBE).

Calculated values
Magnetic moment in μB per formula unit: 0.00
DOS at the Fermi energy in states/eV per atom: 0.51
Total energy in eV/atom: -7.9013
Calculated volume in Å³ per cell: 40
Formation enthalpy at 0 K in eV/atom: 0.22

Lattice parameters (Å, degrees): 4.552 4.552 4.552 144.97 131.16 61.51
Element x y z (fractional)
Os  0.674  0.674  0.000
Os  0.326  0.326  0.000
Li  0.000  0.000  0.000

---

Entry 7:
Entry from Alexandria via LeMat-Bulk: a relaxed structure of Li3Os (GGA-PBE).

Calculated values
Magnetic moment in μB per formula unit: 0.00
DOS at the Fermi energy in states/eV per atom: 0.52
Total energy in eV/atom: -3.7295
Calculated volume in Å³ per cell: 52
Formation enthalpy at 0 K in eV/atom: 0.51

Lattice parameters (Å, degrees): 3.723 3.723 3.723 90.00 90.00 90.00
Element x y z (fractional)
Li  0.000  0.500  0.500
Li  0.500  0.000  0.500
Os  0.000  0.000  0.000
Li  0.500  0.500  0.000

---

Entry 8:
Entry from Alexandria via LeMat-Bulk: a relaxed structure of LiOs (GGA-PBE).

Calculated values
Magnetic moment in μB per formula unit: 2.75
DOS at the Fermi energy in states/eV per atom: 0.89
Total energy in eV/atom: -3.7052
Calculated volume in Å³ per cell: 315
Formation enthalpy at 0 K in eV/atom: 2.87

Lattice parameters (Å, degrees): 6.803 6.803 6.803 90.00 90.00 90.00
Element x y z (fractional)
Li  0.000  0.500  0.250
Os  0.250  0.500  0.000
Os  0.500  0.000  0.750
Li  0.250  0.000  0.500
Os  0.000  0.750  0.500
Os  0.500  0.000  0.250
Os  0.750  0.500  0.000
Li  0.500  0.250  0.000
Li  0.500  0.750  0.000
Li  0.000  0.500  0.750
Os  0.000  0.250  0.500
Li  0.750  0.000  0.500

---

Entry 9:
Entry from Alexandria via LeMat-Bulk: a relaxed structure of LiOs2 (GGA-PBE).

Calculated values
Magnetic moment in μB per formula unit: 0.00
DOS at the Fermi energy in states/eV per atom: 0.80
Total energy in eV/atom: -7.5829
Calculated volume in Å³ per cell: 96
Formation enthalpy at 0 K in eV/atom: 0.54

Lattice parameters (Å, degrees): 5.147 5.147 5.147 60.00 60.00 60.00
Element x y z (fractional)
Os  0.125  0.625  0.125
Os  0.625  0.125  0.125
Os  0.125  0.125  0.125
Li  0.750  0.750  0.750
Os  0.125  0.125  0.625
Li  0.500  0.500  0.500

---

Entry 10:
Entry from Alexandria via LeMat-Bulk: a relaxed structure of LiOs (GGA-PBE).

Calculated values
Magnetic moment in μB per formula unit: 0.00
DOS at the Fermi energy in states/eV per atom: 0.76
Total energy in eV/atom: -6.1007
Calculated volume in Å³ per cell: 486
Formation enthalpy at 0 K in eV/atom: 0.47

Lattice parameters (Å, degrees): 4.577 14.308 7.423 90.00 90.00 90.00
Element x y z (fractional)
Os  0.000  0.584  0.500
Os  0.500  0.084  0.500
Li  0.000  0.000  0.658
Os  0.250  0.166  0.750
Os  0.500  0.584  0.000
Li  0.500  0.500  0.342
Li  0.000  0.500  0.158
Os  0.250  0.334  0.750
Os  0.250  0.666  0.250
Li  0.750  0.250  0.592
Os  0.750  0.666  0.750
Os  0.500  0.916  0.500
Li  0.250  0.750  0.592
Os  0.000  0.084  0.000
Li  0.000  0.500  0.842
Li  0.500  0.000  0.158
Li  0.250  0.250  0.092
Li  0.250  0.750  0.908
Os  0.750  0.334  0.250
Os  0.750  0.166  0.250
Os  0.000  0.916  0.000
Li  0.500  0.000  0.842
Os  0.750  0.834  0.750
Os  0.500  0.416  0.000
Li  0.250  0.250  0.408
Li  0.500  0.500  0.658
Li  0.750  0.250  0.908
Li  0.750  0.750  0.092
Li  0.750  0.750  0.408
Os  0.000  0.416  0.500
Os  0.250  0.834  0.250
Li  0.000  0.000  0.342

---

Entry 11:
Entry from Alexandria via LeMat-Bulk: a relaxed structure of LiOs5 (GGA-PBE).

Calculated values
Magnetic moment in μB per formula unit: 0.00
DOS at the Fermi energy in states/eV per atom: 0.73
Total energy in eV/atom: -9.5115
Calculated volume in Å³ per cell: 84
Formation enthalpy at 0 K in eV/atom: 0.17

Lattice parameters (Å, degrees): 7.161 7.161 4.341 90.00 90.00 157.89
Element x y z (fractional)
Os  0.447  0.553  0.500
Os  0.333  0.667  0.000
Os  0.107  0.893  0.500
Os  0.780  0.220  0.500
Os  0.669  0.331  0.000
Li  0.997  0.003  0.000

---

Entry 12:
Entry from Alexandria via LeMat-Bulk: a relaxed structure of Li3Os (GGA-PBE).

Calculated values
Magnetic moment in μB per formula unit: 0.00
DOS at the Fermi energy in states/eV per atom: 0.62
Total energy in eV/atom: -4.0534
Calculated volume in Å³ per cell: 62
Formation enthalpy at 0 K in eV/atom: 0.19

Lattice parameters (Å, degrees): 2.582 2.582 9.273 90.00 90.00 90.00
Element x y z (fractional)
Li  0.500  0.500  0.250
Li  0.000  0.000  0.973
Os  0.500  0.500  0.750
Li  0.000  0.000  0.527

---

Entry 13:
Entry from Alexandria via LeMat-Bulk: a relaxed structure of LiOs (GGA-PBE).

Calculated values
Magnetic moment in μB per formula unit: 0.00
DOS at the Fermi energy in states/eV per atom: 0.55
Total energy in eV/atom: -6.3931
Calculated volume in Å³ per cell: 57
Formation enthalpy at 0 K in eV/atom: 0.18

Lattice parameters (Å, degrees): 6.443 4.515 2.646 72.96 78.15 50.62
Element x y z (fractional)
Li  0.861  0.629  0.755
Os  0.373  0.131  0.248
Li  0.055  0.955  0.995
Os  0.544  0.453  0.502

---

Entry 14:
Entry from Alexandria via LeMat-Bulk: a relaxed structure of LiOs (GGA-PBE).

Calculated values
Magnetic moment in μB per formula unit: 0.00
DOS at the Fermi energy in states/eV per atom: 0.48
Total energy in eV/atom: -6.4377
Calculated volume in Å³ per cell: 57
Formation enthalpy at 0 K in eV/atom: 0.13

Lattice parameters (Å, degrees): 2.655 5.398 4.098 90.00 90.00 105.19
Element x y z (fractional)
Li  0.216  0.090  0.250
Os  0.283  0.583  0.250
Li  0.784  0.910  0.750
Os  0.717  0.417  0.750

---

Entry 15:
Entry from Alexandria via LeMat-Bulk: a relaxed structure of LiOs5 (GGA-PBE).

Calculated values
Magnetic moment in μB per formula unit: 0.00
DOS at the Fermi energy in states/eV per atom: 0.63
Total energy in eV/atom: -9.5049
Calculated volume in Å³ per cell: 83
Formation enthalpy at 0 K in eV/atom: 0.17

Lattice parameters (Å, degrees): 4.697 4.697 4.346 90.00 90.00 120.00
Element x y z (fractional)
Os  0.320  0.320  0.000
Os  0.000  0.680  0.000
Os  0.680  0.000  0.000
Li  0.000  0.000  0.500
Os  0.333  0.667  0.500
Os  0.667  0.333  0.500

---

Entry 16:
Entry from Alexandria via LeMat-Bulk: a relaxed structure of LiOs (GGA-PBE).

Calculated values
Magnetic moment in μB per formula unit: 2.48
DOS at the Fermi energy in states/eV per atom: 0.98
Total energy in eV/atom: -4.7862
Calculated volume in Å³ per cell: 582
Formation enthalpy at 0 K in eV/atom: 1.79

Lattice parameters (Å, degrees): 8.351 8.351 8.351 90.00 90.00 90.00
Element x y z (fractional)
Os  0.894  0.894  0.894
Os  0.894  0.106  0.106
Li  0.299  0.299  0.701
Li  0.799  0.799  0.201
Li  0.799  0.201  0.799
Os  0.394  0.606  0.606
Os  0.394  0.394  0.394
Li  0.299  0.701  0.299
Li  0.201  0.799  0.799
Os  0.106  0.106  0.894
Li  0.701  0.299  0.299
Os  0.606  0.606  0.394
Li  0.701  0.701  0.701
Li  0.201  0.201  0.201
Os  0.606  0.394  0.606
Os  0.106  0.894  0.106

---

Entry 17:
Entry from Alexandria via LeMat-Bulk: a relaxed structure of LiOs (GGA-PBE).

Calculated values
Magnetic moment in μB per formula unit: 0.00
DOS at the Fermi energy in states/eV per atom: 0.92
Total energy in eV/atom: -5.2878
Calculated volume in Å³ per cell: 107
Formation enthalpy at 0 K in eV/atom: 1.28

Lattice parameters (Å, degrees): 4.783 4.783 4.694 90.00 90.00 90.00
Element x y z (fractional)
Os  0.675  0.675  0.000
Li  0.679  0.679  0.500
Os  0.325  0.325  0.000
Os  0.175  0.825  0.500
Os  0.825  0.175  0.500
Li  0.821  0.179  0.000
Li  0.321  0.321  0.500
Li  0.179  0.821  0.000

---

Entry 18:
Entry from Alexandria via LeMat-Bulk: a relaxed structure of LiOs3 (GGA-PBE).

Calculated values
Magnetic moment in μB per formula unit: 0.00
DOS at the Fermi energy in states/eV per atom: 0.68
Total energy in eV/atom: -8.4929
Calculated volume in Å³ per cell: 121
Formation enthalpy at 0 K in eV/atom: 0.41

Lattice parameters (Å, degrees): 5.186 5.186 4.496 90.00 90.00 92.94
Element x y z (fractional)
Os  0.595  0.052  0.250
Os  0.093  0.907  0.250
Os  0.052  0.595  0.750
Li  0.550  0.450  0.750
Os  0.948  0.405  0.250
Os  0.405  0.948  0.750
Os  0.907  0.093  0.750
Li  0.450  0.550  0.250

---

Entry 19:
Entry from Alexandria via LeMat-Bulk: a relaxed structure of LiOs (GGA-PBE).

Calculated values
Magnetic moment in μB per formula unit: 0.00
DOS at the Fermi energy in states/eV per atom: 0.79
Total energy in eV/atom: -6.1991
Calculated volume in Å³ per cell: 180
Formation enthalpy at 0 K in eV/atom: 0.37

Lattice parameters (Å, degrees): 8.925 8.925 2.613 90.00 90.00 120.00
Element x y z (fractional)
Os  0.860  0.394  0.250
Os  0.534  0.140  0.250
Os  0.466  0.860  0.750
Li  0.065  0.290  0.750
Li  0.776  0.065  0.250
Os  0.394  0.534  0.750
Li  0.710  0.776  0.750
Os  0.140  0.606  0.750
Li  0.935  0.710  0.250
Li  0.224  0.935  0.750
Os  0.606  0.466  0.250
Li  0.290  0.224  0.250

---

Entry 20:
Entry from Alexandria via LeMat-Bulk: a relaxed structure of LiOs (GGA-PBE).

Calculated values
Magnetic moment in μB per formula unit: 1.94
DOS at the Fermi energy in states/eV per atom: 0.95
Total energy in eV/atom: -3.7352
Calculated volume in Å³ per cell: 148
Formation enthalpy at 0 K in eV/atom: 2.84

Lattice parameters (Å, degrees): 5.289 5.289 5.289 90.00 90.00 90.00
Element x y z (fractional)
Li  0.250  0.250  0.250
Os  0.500  0.500  0.000
Os  0.000  0.500  0.500
Os  0.000  0.000  0.000
Li  0.250  0.750  0.750
Os  0.500  0.000  0.500
Li  0.750  0.250  0.750
Li  0.750  0.750  0.250